# TbAlZn2Pt

An optimized crystal structure of TbAlZn2Pt (PBE-GGA, Alexandria).

## Properties
Symmetry: Imm2
Formation energy (kcal/mol of atoms): -15.35

a b c (Å): 3.747 4.215 11.769
angles (deg): 90.00 90.00 90.00
Positions (direct):
Tb: 0.000 0.000 0.000
Tb: 0.500 0.500 0.500
Al: 0.000 0.500 0.751
Al: 0.500 0.000 0.251
Zn: 0.000 0.000 0.615
Zn: 0.000 0.500 0.263
Zn: 0.500 0.000 0.763
Zn: 0.500 0.500 0.115
Pt: 0.000 0.000 0.398
Pt: 0.500 0.500 0.898



# ScPd2Cl2

An optimized crystal structure of ScPd2Cl2 (PBE-GGA, Alexandria).

## Properties
Symmetry: P4/mbm
Formation energy without anion corrections (eV per atom): -0.61

a b c (Å): 6.554 6.554 4.667
angles (deg): 90.00 90.00 90.00
Positions (direct):
Sc: 0.000 0.000 0.000
Sc: 0.500 0.500 0.000
Pd: 0.235 0.265 0.500
Pd: 0.265 0.765 0.500
Pd: 0.735 0.235 0.500
Pd: 0.765 0.735 0.500
Cl: 0.167 0.333 0.000
Cl: 0.333 0.833 0.000
Cl: 0.667 0.167 0.000
Cl: 0.833 0.667 0.000



# YTiSbS2

An optimized crystal structure of YTiSbS2 (PBE-GGA, Alexandria).

## Properties
Symmetry: P4/mmm
Formation energy without anion corrections (eV per atom): 0.66

a b c (Å): 5.154 5.154 5.721
angles (deg): 90.00 90.00 90.00
Positions (direct):
Y: 0.000 0.000 0.000
Ti: 0.500 0.500 0.000
Sb: 0.000 0.000 0.500
S: 0.000 0.500 0.500
S: 0.500 0.000 0.500



# NaLiMo2P

An optimized crystal structure of NaLiMo2P (PBE-GGA, Alexandria).

## Properties
Symmetry: P4/mmm
Formation energy (kcal/mol of atoms): 15.14

a b c (Å): 4.515 4.515 5.214
angles (deg): 90.00 90.00 90.00
Positions (direct):
Na: 0.000 0.000 0.000
Li: 0.500 0.500 0.000
Mo: 0.000 0.500 0.500
Mo: 0.500 0.000 0.500
P: 0.000 0.000 0.500



# Na4CdF5

An optimized crystal structure of Na4CdF5 (PBE-GGA, Alexandria).

## Properties
Symmetry: I4/m
Formation energy without anion corrections (eV per atom): -2.39

a b c (Å): 5.957 5.957 5.957
angles (deg): 99.27 99.27 132.68
Positions (direct):
Na: 0.106 0.694 0.800
Na: 0.306 0.106 0.412
Na: 0.694 0.894 0.588
Na: 0.894 0.306 0.200
Cd: 0.500 0.500 0.000
F: 0.000 0.000 0.000
F: 0.184 0.389 0.573
F: 0.389 0.816 0.206
F: 0.611 0.184 0.794
F: 0.816 0.611 0.427



# Mn2HgRu

An optimized crystal structure of Mn2HgRu (PBE-GGA, Alexandria).

## Properties
Symmetry: P4/mmm
Formation energy (kcal/mol of atoms): 7.71

a b c (Å): 4.379 4.379 3.290
angles (deg): 90.00 90.00 90.00
Positions (direct):
Mn: 0.000 0.500 0.000
Mn: 0.500 0.000 0.000
Hg: 0.000 0.000 0.500
Ru: 0.500 0.500 0.500



# FeCo2Cu

An optimized crystal structure of FeCo2Cu (PBE-GGA, Alexandria).

## Properties
Symmetry: F-43m
Formation energy (kcal/mol of atoms): 3.35

a b c (Å): 5.689 5.689 5.689
angles (deg): 90.00 90.00 90.00
Positions (direct):
Fe: 0.000 0.000 0.000
Fe: 0.000 0.500 0.500
Fe: 0.500 0.000 0.500
Fe: 0.500 0.500 0.000
Co: 0.000 0.000 0.500
Co: 0.000 0.500 0.000
Co: 0.250 0.250 0.250
Co: 0.250 0.750 0.750
Co: 0.500 0.000 0.000
Co: 0.500 0.500 0.500
Co: 0.750 0.250 0.750
Co: 0.750 0.750 0.250
Cu: 0.250 0.250 0.750
Cu: 0.250 0.750 0.250
Cu: 0.750 0.250 0.250
Cu: 0.750 0.750 0.750



# CdHgSe2

An optimized crystal structure of CdHgSe2 (PBE-GGA, Alexandria).

## Properties
Symmetry: Cmm2
Formation energy without anion corrections (eV per atom): 0.22

a b c (Å): 3.944 4.884 10.112
angles (deg): 90.00 90.00 90.00
Positions (direct):
Cd: 0.000 0.000 0.000
Cd: 0.500 0.500 0.000
Hg: 0.000 0.500 0.230
Hg: 0.500 0.000 0.230
Se: 0.000 0.000 0.461
Se: 0.000 0.500 0.801
Se: 0.500 0.000 0.801
Se: 0.500 0.500 0.461



The following VASP energy values (in eV per atom) correspond, in order, to the records above: -4.058 -4.692 -4.690 -5.404 -3.945 -6.645 -6.547 -1.827.